No. 1
# KCu2Ru | Alexandria via LeMat-Bulk | GGA-PBE | optimized geometry
data_KCu2Ru
_chemical_formula_sum 'K4 Cu8 Ru4'
_space_group_name_H-M_alt 'F -4 3 m'
_space_group_IT_number 216
_space_group_name_Hall 'F -4 2 3'
_cell_length_a 6.467
_cell_length_b 6.467
_cell_length_c 6.467
_cell_angle_alpha 90.00
_cell_angle_beta 90.00
_cell_angle_gamma 90.00
loop_
_atom_site_label
_atom_site_type_symbol
_atom_site_fract_x
_atom_site_fract_y
_atom_site_fract_z
K1 K 0.000 0.000 0.000
Cu1 Cu 0.000 0.000 0.500
Cu2 Cu 0.250 0.250 0.250
Ru1 Ru 0.250 0.250 0.750
# Volume in Å³/cell: 270.50
# ΔH_f (0 K) in meV/atom: 1187.6



No. 2
# KCuRu | Alexandria via LeMat-Bulk | GGA-PBE | optimized geometry
data_KCuRu
_chemical_formula_sum 'K2 Cu2 Ru2'
_space_group_name_H-M_alt 'I m m 2'
_space_group_IT_number 44
_cell_length_a 2.613
_cell_length_b 4.175
_cell_length_c 11.772
_cell_angle_alpha 90.00
_cell_angle_beta 90.00
_cell_angle_gamma 90.00
loop_
_space_group_symop_operation_xyz
'x,y,z'
'-x,-y,z'
'-x,y,z'
'x,-y,z'
'x+1/2,y+1/2,z+1/2'
'-x+1/2,-y+1/2,z+1/2'
'-x+1/2,y+1/2,z+1/2'
'x+1/2,-y+1/2,z+1/2'
loop_
_atom_site_label
_atom_site_type_symbol
_atom_site_fract_x
_atom_site_fract_y
_atom_site_fract_z
K1 K 0.000 0.000 0.000
Cu1 Cu 0.000 0.000 0.277
Ru1 Ru 0.000 0.000 0.723
# Volume in Å³/cell: 128.45
# ΔH_f (0 K) in meV/atom: 716.8



Q: volume of number 1 (KCu2Ru)?
A: 270.50 Å³/cell



Q: What is the formula in the second record?
A: KCuRu